The following is a PBE calculation of a relaxed Mg2MnPb crystal, from Alexandria.

Summary:
DOS(E_F)	0.55	states/eV/atom
space-group type	P4/mmm (123)
ρ	6.0	g/cm³
V	21.4	Å³ per atom
ΔE_f	0.64	eV/f.u.

Unit cell a=3.360 b=3.360 c=7.581 alpha=90.00 beta=90.00 gamma=90.00
Element x y z (fractional)
Mg: 0.000 0.000 0.208
Mg: 0.000 0.000 0.792
Mn: 0.500 0.500 0.000
Pb: 0.500 0.500 0.500

=====

The following is a PBE calculation of a relaxed Mg2MnPb crystal, from Alexandria.

Summary:
DOS(E_F)	0.54	states/eV/atom
space-group type	Cm (8)
ρ	5.9	g/cm³
V	21.9	Å³ per atom
ΔE_f	0.79	eV/f.u.

Unit cell a=11.481 b=3.403 c=4.909 alpha=90.00 beta=114.22 gamma=90.00
Element x y z (fractional)
Mg: 0.000 0.000 0.000
Mg: 0.220 0.000 0.718
Mg: 0.500 0.500 0.000
Mg: 0.720 0.500 0.718
Mn: 0.220 0.500 0.216
Mn: 0.720 0.000 0.216
Pb: 0.447 0.000 0.449
Pb: 0.947 0.500 0.449

=====

The following is a PBE calculation of a relaxed MgMnPb crystal, from Alexandria.

Summary:
DOS(E_F)	0.79	states/eV/atom
space-group type	I4mm (107)
ρ	7.4	g/cm³
V	21.5	Å³ per atom
ΔE_f	0.82	eV/f.u.

Unit cell a=3.364 b=3.364 c=11.409 alpha=90.00 beta=90.00 gamma=90.00
Element x y z (fractional)
Mg: 0.000 0.000 0.000
Mg: 0.500 0.500 0.500
Mn: 0.000 0.000 0.638
Mn: 0.500 0.500 0.138
Pb: 0.000 0.000 0.300
Pb: 0.500 0.500 0.800

=====

The following is a PBE calculation of a relaxed MgMn4Pb crystal, from Alexandria.

Summary:
DOS(E_F)	1.53	states/eV/atom
space-group type	F-43m (216)
ρ	8.5	g/cm³
V	14.6	Å³ per atom
ΔE_f	2.50	eV/f.u.

Unit cell a=4.986 b=4.986 c=4.986 alpha=60.00 beta=60.00 gamma=60.00
Element x y z (fractional)
Mg: 0.000 0.000 0.000
Mn: 0.374 0.374 0.374
Mn: 0.374 0.374 0.879
Mn: 0.374 0.879 0.374
Mn: 0.879 0.374 0.374
Pb: 0.750 0.750 0.750

=====

The following is a PBE calculation of a relaxed MgMnPb crystal, from Alexandria.

Summary:
DOS(E_F)	0.91	states/eV/atom
space-group type	Imm2 (44)
ρ	7.4	g/cm³
V	21.4	Å³ per atom
ΔE_f	0.91	eV/f.u.

Unit cell a=3.233 b=4.106 c=9.668 alpha=90.00 beta=90.00 gamma=90.00
Element x y z (fractional)
Mg: 0.000 0.000 0.000
Mg: 0.500 0.500 0.500
Mn: 0.000 0.000 0.652
Mn: 0.500 0.500 0.152
Pb: 0.000 0.000 0.315
Pb: 0.500 0.500 0.815

=====

The following is a PBE calculation of a relaxed Mg2MnPb crystal, from Alexandria.

Summary:
DOS(E_F)	0.70	states/eV/atom
space-group type	I-42d (122)
ρ	5.5	g/cm³
V	23.6	Å³ per atom
ΔE_f	1.67	eV/f.u.

Unit cell a=8.041 b=8.041 c=5.829 alpha=90.00 beta=90.00 gamma=90.00
Element x y z (fractional)
Mg: 0.227 0.250 0.125
Mg: 0.250 0.727 0.375
Mg: 0.250 0.773 0.875
Mg: 0.273 0.250 0.625
Mg: 0.727 0.750 0.625
Mg: 0.750 0.227 0.875
Mg: 0.750 0.273 0.375
Mg: 0.773 0.750 0.125
Mn: 0.000 0.000 0.000
Mn: 0.000 0.500 0.250
Mn: 0.500 0.000 0.750
Mn: 0.500 0.500 0.500
Pb: 0.000 0.000 0.500
Pb: 0.000 0.500 0.750
Pb: 0.500 0.000 0.250
Pb: 0.500 0.500 0.000

=====

The following is a PBE calculation of a relaxed Mg2MnPb crystal, from Alexandria.

Summary:
DOS(E_F)	0.65	states/eV/atom
space-group type	I-4m2 (119)
ρ	6.1	g/cm³
V	21.2	Å³ per atom
ΔE_f	0.69	eV/f.u.

Unit cell a=4.323 b=4.323 c=9.068 alpha=90.00 beta=90.00 gamma=90.00
Element x y z (fractional)
Mg: 0.000 0.000 0.000
Mg: 0.000 0.500 0.250
Mg: 0.500 0.000 0.750
Mg: 0.500 0.500 0.500
Mn: 0.000 0.000 0.500
Mn: 0.500 0.500 0.000
Pb: 0.000 0.500 0.750
Pb: 0.500 0.000 0.250

=====

The following is a PBE calculation of a relaxed MgMnPb crystal, from Alexandria.

Summary:
DOS(E_F)	0.46	states/eV/atom
space-group type	F-43m (216)
ρ	6.7	g/cm³
V	23.6	Å³ per atom
ΔE_f	0.82	eV/f.u.

Unit cell a=6.570 b=6.570 c=6.570 alpha=90.00 beta=90.00 gamma=90.00
Element x y z (fractional)
Mg: 0.000 0.000 0.000
Mg: 0.000 0.500 0.500
Mg: 0.500 0.000 0.500
Mg: 0.500 0.500 0.000
Mn: 0.250 0.250 0.750
Mn: 0.250 0.750 0.250
Mn: 0.750 0.250 0.250
Mn: 0.750 0.750 0.750
Pb: 0.000 0.000 0.500
Pb: 0.000 0.500 0.000
Pb: 0.500 0.000 0.000
Pb: 0.500 0.500 0.500

=====

The following is a PBE calculation of a relaxed Mg2MnPb crystal, from Alexandria.

Summary:
DOS(E_F)	0.82	states/eV/atom
space-group type	I4/mmm (139)
ρ	6.1	g/cm³
V	21.3	Å³ per atom
ΔE_f	0.73	eV/f.u.

Unit cell a=4.311 b=4.311 c=9.175 alpha=90.00 beta=90.00 gamma=90.00
Element x y z (fractional)
Mg: 0.000 0.500 0.250
Mg: 0.000 0.500 0.750
Mg: 0.500 0.000 0.250
Mg: 0.500 0.000 0.750
Mn: 0.000 0.000 0.000
Mn: 0.500 0.500 0.500
Pb: 0.000 0.000 0.500
Pb: 0.500 0.500 0.000

=====

The following is a PBE calculation of a relaxed Mg2MnPb crystal, from Alexandria.

Summary:
DOS(E_F)	0.49	states/eV/atom
space-group type	C2/m (12)
ρ	6.0	g/cm³
V	21.6	Å³ per atom
ΔE_f	0.80	eV/f.u.

Unit cell a=11.268 b=3.404 c=4.937 alpha=90.00 beta=114.34 gamma=90.00
Element x y z (fractional)
Mg: 0.229 0.000 0.229
Mg: 0.271 0.500 0.771
Mg: 0.729 0.500 0.229
Mg: 0.771 0.000 0.771
Mn: 0.000 0.500 0.000
Mn: 0.500 0.000 0.000
Pb: 0.000 0.000 0.500
Pb: 0.500 0.500 0.500

=====

The following is a PBE calculation of a relaxed PuMgMnPb crystal, from Alexandria.

Summary:
DOS(E_F)	3.69	states/eV/atom
space-group type	F-43m (216)
ρ	9.0	g/cm³
V	24.3	Å³ per atom
ΔE_f	1.31	eV/f.u.

Unit cell a=7.302 b=7.302 c=7.302 alpha=90.00 beta=90.00 gamma=90.00
Element x y z (fractional)
Pu: 0.000 0.000 0.000
Pu: 0.000 0.500 0.500
Pu: 0.500 0.000 0.500
Pu: 0.500 0.500 0.000
Mg: 0.000 0.000 0.500
Mg: 0.000 0.500 0.000
Mg: 0.500 0.000 0.000
Mg: 0.500 0.500 0.500
Mn: 0.250 0.250 0.250
Mn: 0.250 0.750 0.750
Mn: 0.750 0.250 0.750
Mn: 0.750 0.750 0.250
Pb: 0.250 0.250 0.750
Pb: 0.250 0.750 0.250
Pb: 0.750 0.250 0.250
Pb: 0.750 0.750 0.750

=====

The following is a PBE calculation of a relaxed MgMnPb2S crystal, from Alexandria.

Summary:
DOS(E_F)	0.60	states/eV/atom
energy relative to the elements, uncorrected	347	meV per atom
excess energy over the best structure of this formula in the dataset	151	meV per atom
space-group type	P4/mmm (123)
ρ	5.9	g/cm³
V	29.4	Å³ per atom

Unit cell a=5.636 b=5.636 c=4.625 alpha=90.00 beta=90.00 gamma=90.00
Element x y z (fractional)
Mg: 0.000 0.000 0.000
Mn: 0.500 0.500 0.000
Pb: 0.000 0.500 0.500
Pb: 0.500 0.000 0.500
S: 0.000 0.000 0.500

=====

> Among the records above, which one has the lowest DOS(E_F)?

number 8